Entry from the Alexandria database: La2PtAu after structural relaxation (PBE-GGA).

It has space group C2/m (No. 12), with a = 7.451 Å, b = 4.304 Å, c = 7.613 Å, α = 90.00°, β = 108.96° and γ = 90.00°. Symmetry generates all atoms from La at (0.243, 0.000, 0.231), Pt at (0.000, 0.500, 0.000) and Au at (0.000, 0.000, 0.500).

For the raw total energy, the calculation gives -46.22 eV for the cell shown. As for the density of states at the Fermi level: 4.1 states/eV/cell. The value obtained for the total moment is 0.000 μB/cell. The calculation puts the formation energy at -0.98 eV/atom.